The following is a DFT calculation (PBE) of a geometry-optimized Pa3Bi6Pb structure.

It has space group P-3m1 (No. 164), with a = 4.6117 Å, b = 4.6117 Å, c = 20.0402 Å, α = 90.00°, β = 90.00° and γ = 120.00°. The distinct sites, in fractional coordinates, are Pa at (0.0000, 0.0000, 0.0000), Pa at (0.0000, 0.0000, 0.3100), Bi at (0.3333, 0.6667, 0.0818), Bi at (0.3333, 0.6667, 0.3978), Bi at (0.3333, 0.6667, 0.7691) and Pb at (0.0000, 0.0000, 0.5000).

The formation energy is 17 kJ per mole of atoms. As for the density of states at the Fermi level: 6.7 states/eV/cell.